VASP calculation (PBE) on crystalline CsCd3Sb3 at its relaxed geometry.

## Properties
The energy above the most stable polymorph in this dataset comes out at 0 meV per atom. As for the total DFT energy (no corrections): -0.089 Ha/atom. Its formation energy from raw total energies is -0.15 eV per atom. Its volume is 528.9 Å³ per cell.

Cell: 8.087 8.087 8.087 Å, 90.00 90.00 90.00°
Fractional positions:
Cd (0.250, 0.000, 0.500)
Cd (0.000, 0.500, 0.750)
Cd (0.000, 0.500, 0.250)
Cd (0.500, 0.250, 0.000)
Cd (0.500, 0.750, 0.000)
Cd (0.750, 0.000, 0.500)
Cs (0.500, 0.500, 0.500)
Cs (0.000, 0.000, 0.000)
Sb (0.000, 0.250, 0.500)
Sb (0.000, 0.750, 0.500)
Sb (0.250, 0.500, 0.000)
Sb (0.750, 0.500, 0.000)
Sb (0.500, 0.000, 0.250)
Sb (0.500, 0.000, 0.750)